# 1
A geometry-optimized Li3TcO4 structure. Source: Alexandria via LeMat-Bulk, functional PBE-GGA.

CIF file:
```
data_Li3TcO4
_cell_length_a 4.004
_cell_length_b 6.007
_cell_length_c 7.006
_cell_angle_alpha 90.00
_cell_angle_beta 90.00
_cell_angle_gamma 90.00
_space_group_name_H-M_alt 'P 1'
_space_group_IT_number 1
_space_group_name_Hall 'P 1'
loop_
_atom_site_label
_atom_site_type_symbol
_atom_site_fract_x
_atom_site_fract_y
_atom_site_fract_z
_atom_site_occupancy
O1 O 0.064 0.323 0.772 1
O2 O 0.064 0.854 0.000 1
O3 O 0.064 0.323 0.228 1
O4 O 0.064 0.835 0.500 1
O5 O 0.564 0.146 0.500 1
O6 O 0.564 0.677 0.272 1
O7 O 0.564 0.165 0.000 1
O8 O 0.564 0.677 0.728 1
Li1 Li 0.065 0.179 0.500 1
Li2 Li 0.564 0.336 0.740 1
Li3 Li 0.564 0.336 0.260 1
Li4 Li 0.565 0.821 0.000 1
Li5 Li 0.064 0.664 0.760 1
Li6 Li 0.064 0.664 0.240 1
Tc1 Tc 0.064 0.165 0.000 1
Tc2 Tc 0.564 0.835 0.500 1
```

Calculated values
Density (g cm⁻³): 3.604
SG: Pmmn (59)
DFT total energy (Ry per atom): -0.462
Formation energy without anion corrections (eV/atom): -1.79
Fermi-level density of states (states/eV/cell): 6.7
Energy relative to the lowest polymorph listed for this composition (meV per atom): 0



# 2
A geometry-optimized Ni2RuBr structure. Source: Alexandria via LeMat-Bulk, functional PBE-GGA.

CIF file:
```
data_Ni2RuBr
_cell_length_a 8.156
_cell_length_b 8.156
_cell_length_c 8.156
_cell_angle_alpha 20.36
_cell_angle_beta 20.36
_cell_angle_gamma 20.36
_space_group_name_H-M_alt 'P 1'
_space_group_IT_number 1
_space_group_name_Hall 'P 1'
loop_
_atom_site_label
_atom_site_type_symbol
_atom_site_fract_x
_atom_site_fract_y
_atom_site_fract_z
_atom_site_occupancy
Br1 Br 0.750 0.750 0.750 1
Ni1 Ni 0.503 0.503 0.503 1
Ni2 Ni 0.997 0.997 0.997 1
Ru1 Ru 0.250 0.250 0.250 1
```

Calculated values
Density (g cm⁻³): 8.620
SG: R-3m (166)
DFT total energy (Ry per atom): -0.372
Formation energy without anion corrections (eV/atom): 0.57
Fermi-level density of states (states/eV/cell): 6.2
Energy relative to the lowest polymorph listed for this composition (meV per atom): 81



# 3
A geometry-optimized Tc2C structure. Source: Alexandria via LeMat-Bulk, functional PBE-GGA.

CIF file:
```
data_Tc2C
_cell_length_a 2.953
_cell_length_b 2.953
_cell_length_c 4.131
_cell_angle_alpha 90.00
_cell_angle_beta 90.00
_cell_angle_gamma 90.00
_space_group_name_H-M_alt 'P 1'
_space_group_IT_number 1
_space_group_name_Hall 'P 1'
loop_
_atom_site_label
_atom_site_type_symbol
_atom_site_fract_x
_atom_site_fract_y
_atom_site_fract_z
_atom_site_occupancy
C1 C 0.000 0.000 0.000 1
Tc1 Tc 0.500 0.500 0.000 1
Tc2 Tc 0.000 0.000 0.500 1
```

Calculated values
Density (g cm⁻³): 9.586
SG: P4/mmm (123)
DFT total energy (Ry per atom): -0.711
Fermi-level density of states (states/eV/cell): 2.9
Energy relative to the lowest polymorph listed for this composition (meV per atom): 243



# 4
A geometry-optimized Ba4LiCr structure. Source: Alexandria via LeMat-Bulk, functional PBE-GGA.

CIF file:
```
data_Ba4LiCr
_cell_length_a 7.537
_cell_length_b 7.537
_cell_length_c 7.537
_cell_angle_alpha 60.00
_cell_angle_beta 60.00
_cell_angle_gamma 60.00
_space_group_name_H-M_alt 'P 1'
_space_group_IT_number 1
_space_group_name_Hall 'P 1'
loop_
_atom_site_label
_atom_site_type_symbol
_atom_site_fract_x
_atom_site_fract_y
_atom_site_fract_z
_atom_site_occupancy
Ba1 Ba 0.873 0.376 0.376 1
Ba2 Ba 0.376 0.376 0.873 1
Ba3 Ba 0.376 0.376 0.376 1
Ba4 Ba 0.376 0.873 0.376 1
Li1 Li 0.000 0.000 0.000 1
Cr1 Cr 0.750 0.750 0.750 1
```

Calculated values
Density (g cm⁻³): 3.337
SG: F-43m (216)
DFT total energy (Ry per atom): -0.180
Fermi-level density of states (states/eV/cell): 10.2



# 5
A geometry-optimized CrFeAg2 structure. Source: Alexandria via LeMat-Bulk, functional PBE-GGA.

CIF file:
```
data_CrFeAg2
_cell_length_a 4.659
_cell_length_b 4.659
_cell_length_c 2.993
_cell_angle_alpha 90.00
_cell_angle_beta 90.00
_cell_angle_gamma 90.00
_space_group_name_H-M_alt 'P 1'
_space_group_IT_number 1
_space_group_name_Hall 'P 1'
loop_
_atom_site_label
_atom_site_type_symbol
_atom_site_fract_x
_atom_site_fract_y
_atom_site_fract_z
_atom_site_occupancy
Ag1 Ag 0.000 0.000 0.000 1
Ag2 Ag 0.500 0.500 0.000 1
Cr1 Cr 0.500 0.000 0.500 1
Fe1 Fe 0.000 0.500 0.500 1
```

Calculated values
Density (g cm⁻³): 8.271
SG: P4/mmm (123)
DFT total energy (Ry per atom): -0.395
Fermi-level density of states (states/eV/cell): 4.4
Energy relative to the lowest polymorph listed for this composition (meV per atom): 242



# 6
A geometry-optimized ZrFeNiCl2 structure. Source: Alexandria via LeMat-Bulk, functional PBE-GGA.

CIF file:
```
data_ZrFeNiCl2
_cell_length_a 4.381
_cell_length_b 4.704
_cell_length_c 4.381
_cell_angle_alpha 90.00
_cell_angle_beta 90.00
_cell_angle_gamma 90.00
_space_group_name_H-M_alt 'P 1'
_space_group_IT_number 1
_space_group_name_Hall 'P 1'
loop_
_atom_site_label
_atom_site_type_symbol
_atom_site_fract_x
_atom_site_fract_y
_atom_site_fract_z
_atom_site_occupancy
Cl1 Cl 0.500 0.000 0.000 1
Cl2 Cl 0.000 0.000 0.500 1
Ni1 Ni 0.000 0.500 0.000 1
Fe1 Fe 0.000 0.000 0.000 1
Zr1 Zr 0.500 0.500 0.500 1
```

Calculated values
Density (g cm⁻³): 5.089
SG: P4/mmm (123)
DFT total energy (Ry per atom): -0.362
Formation energy without anion corrections (eV/atom): 0.37
Fermi-level density of states (states/eV/cell): 5.2



# 7
A geometry-optimized RbCaNbTeSe structure. Source: Alexandria via LeMat-Bulk, functional PBE-GGA.

CIF file:
```
data_RbCaNbTeSe
_cell_length_a 3.690
_cell_length_b 5.287
_cell_length_c 8.557
_cell_angle_alpha 90.26
_cell_angle_beta 90.28
_cell_angle_gamma 110.39
_space_group_name_H-M_alt 'P 1'
_space_group_IT_number 1
_space_group_name_Hall 'P 1'
loop_
_atom_site_label
_atom_site_type_symbol
_atom_site_fract_x
_atom_site_fract_y
_atom_site_fract_z
_atom_site_occupancy
Te1 Te 0.116 0.801 0.173 1
Nb1 Nb 0.826 0.223 0.067 1
Rb1 Rb 0.825 0.235 0.489 1
Ca1 Ca 0.555 0.686 0.881 1
Se1 Se 0.281 0.139 0.829 1
```

Calculated values
Density (g cm⁻³): 4.510
SG: P1 (1)
DFT total energy (Ry per atom): -0.327
Formation energy without anion corrections (eV/atom): -0.51
Fermi-level density of states (states/eV/cell): 2.6
Energy relative to the lowest polymorph listed for this composition (meV per atom): 200



# 8
A geometry-optimized RbBe2H2 structure. Source: Alexandria via LeMat-Bulk, functional PBE-GGA.

CIF file:
```
data_RbBe2H2
_cell_length_a 3.756
_cell_length_b 4.299
_cell_length_c 10.971
_cell_angle_alpha 94.03
_cell_angle_beta 92.70
_cell_angle_gamma 93.06
_space_group_name_H-M_alt 'P 1'
_space_group_IT_number 1
_space_group_name_Hall 'P 1'
loop_
_atom_site_label
_atom_site_type_symbol
_atom_site_fract_x
_atom_site_fract_y
_atom_site_fract_z
_atom_site_occupancy
Be1 Be 0.757 0.881 0.000 1
Be2 Be 0.243 0.119 0.000 1
Be3 Be 0.734 0.374 0.944 1
Be4 Be 0.266 0.626 0.056 1
Rb1 Rb 0.741 0.216 0.280 1
Rb2 Rb 0.259 0.784 0.720 1
H1 H 0.949 0.037 0.906 1
H2 H 0.304 0.613 0.189 1
H3 H 0.051 0.963 0.094 1
H4 H 0.696 0.387 0.811 1
```

Calculated values
Density (g cm⁻³): 1.988
SG: P-1 (2)
DFT total energy (Ry per atom): -0.219
Fermi-level density of states (states/eV/cell): 1.8
Energy relative to the lowest polymorph listed for this composition (meV per atom): 38



- What is the density in the eighth record?
  1.988 g cm⁻³